1.
Density functional theory data (PBE) for crystalline OsRuAu4 at its relaxed geometry.

POSCAR file:
```
OsRuAu4
1.0
0.0000 3.7807 3.7807
3.7807 0.0000 3.7807
3.7807 3.7807 0.0000
Au Ru Os
4 1 1
Direct
0.8749 0.3750 0.3750
0.3750 0.3750 0.3750
0.3750 0.8749 0.3750
0.3750 0.3750 0.8749
0.0000 0.0000 0.0000
0.7500 0.7500 0.7500
```

Calculated values
total DFT energy (no corrections) = -4.60 eV/atom
formation enthalpy at 0 K = 5.99 eV/f.u.


2.
Density functional theory data (PBE) for crystalline La6ScTl2 at its relaxed geometry.

POSCAR file:
```
La6ScTl2
1.0
-2.5763 -0.7894 -3.8836
-6.0613 -3.0334 4.6376
0.3366 8.1782 0.9909
La Sc Tl
6 1 2
Direct
0.2797 0.1624 0.5595
0.7203 0.8376 0.4405
0.8366 0.5110 0.6731
0.5972 0.1520 0.1944
0.4028 0.8480 0.8056
0.1634 0.4890 0.3269
0.5000 0.5000 0.0000
0.9431 0.1953 0.8862
0.0569 0.8047 0.1138
```

Calculated values
total DFT energy (no corrections) = -4.66 eV/atom
formation enthalpy at 0 K = -1.29 eV/f.u.


3.
Density functional theory data (PBE) for crystalline CoSiI2N at its relaxed geometry.

POSCAR file:
```
CoSiI2N
1.0
5.6468 0.0000 0.0000
0.0000 5.6468 0.0000
0.0000 0.0000 3.3374
I Si Co N
2 1 1 1
Direct
0.5000 0.0000 0.0000
0.0000 0.5000 0.0000
0.0000 0.0000 0.0000
0.5000 0.5000 0.5000
0.0000 0.0000 0.5000
```

Calculated values
energy above the most stable polymorph in this dataset = 17.2 meV per atom
total DFT energy (no corrections) = -4.10 eV/atom


4.
Density functional theory data (PBE) for crystalline Pm2CuPdO5 at its relaxed geometry.

POSCAR file:
```
Pm2CuPdO5
1.0
-0.0927 -4.9669 -2.8507
5.1662 -2.2310 3.7192
-4.3356 -2.5111 4.5163
Pd O Pm Cu
2 10 4 2
Direct
0.0000 0.0000 0.5000
0.0000 0.5000 0.0000
0.2538 0.3612 0.1388
0.2538 0.8612 0.3612
0.7462 0.1388 0.6388
0.7462 0.6388 0.8612
0.7462 0.8612 0.3612
0.5000 0.0000 0.0000
0.2538 0.1388 0.6388
0.5000 0.5000 0.5000
0.2538 0.6388 0.8612
0.7462 0.3612 0.1388
0.5000 0.3262 0.8262
0.5000 0.6738 0.1738
0.5000 0.1738 0.3262
0.5000 0.8262 0.6738
0.0000 0.5000 0.5000
0.0000 0.0000 0.0000
```

Calculated values
total DFT energy (no corrections) = -6.60 eV/atom


5.
Density functional theory data (PBE) for crystalline Hf5Ti3Sn3 at its relaxed geometry.

POSCAR file:
```
Hf5Ti3Sn3
1.0
3.0184 0.0000 0.0000
0.0000 9.7164 0.0000
0.0000 -4.8582 8.4147
Sn Hf Ti
3 5 3
Direct
0.0000 0.6764 0.6764
0.0000 0.0000 0.3236
0.0000 0.3236 0.0000
0.5000 0.8316 0.0000
0.5000 0.3333 0.6667
0.5000 0.0000 0.8316
0.5000 0.6667 0.3333
0.5000 0.1684 0.1684
0.5000 0.5658 0.0000
0.5000 0.4342 0.4342
0.5000 0.0000 0.5658
```

Calculated values
total DFT energy (no corrections) = -7.34 eV/atom
formation enthalpy at 0 K = 4.71 eV/f.u.


6.
Density functional theory data (PBE) for crystalline Ac2TlF8 at its relaxed geometry.

POSCAR file:
```
Ac2TlF8
1.0
-2.9404 -1.4060 -2.4596
0.1478 -5.2143 2.8041
-3.7275 5.8991 4.4732
F Ac Tl
8 2 1
Direct
0.2211 0.1164 0.4423
0.7789 0.8836 0.5577
0.3212 0.6033 0.6424
0.5959 0.7500 0.1917
0.4041 0.2500 0.8083
0.9651 0.7479 0.9303
0.6788 0.3967 0.3576
0.0349 0.2521 0.0697
0.8273 0.3348 0.6545
0.1727 0.6652 0.3455
0.5000 0.0000 0.0000
```

Calculated values
total DFT energy (no corrections) = -5.83 eV/atom